Record 1
DFT (PBE-GGA) results for a geometry-optimized LaNd10Er6 structure.

For the raw total energy, the calculation gives -4.57 eV/atom.

a b c (Å): 6.926 9.872 9.872
angles (deg): 120.00 90.00 90.00
Fractional coordinates of all 17 atoms:
1 Nd 0.178 0.000 0.720
2 Nd 0.500 0.667 0.333
3 Nd 0.000 0.333 0.667
4 Nd 0.822 0.000 0.280
5 Nd 0.178 0.280 0.280
6 Nd 0.000 0.667 0.333
7 Nd 0.822 0.720 0.720
8 Nd 0.500 0.333 0.667
9 Nd 0.822 0.280 0.000
10 Nd 0.178 0.720 0.000
11 Er 0.686 0.631 0.000
12 Er 0.314 0.631 0.631
13 Er 0.314 0.000 0.369
14 Er 0.686 0.369 0.369
15 Er 0.686 0.000 0.631
16 Er 0.314 0.369 0.000
17 La 0.500 0.000 0.000



Record 2
DFT (PBE-GGA) results for a geometry-optimized La2NdEr4 structure.

For the raw total energy, the calculation gives -4.45 eV/atom.

a b c (Å): 4.622 4.622 11.753
angles (deg): 101.34 101.34 90.00
Fractional coordinates of all 7 atoms:
1 Nd 0.000 0.000 0.000
2 Er 0.250 0.750 0.500
3 Er 0.750 0.250 0.500
4 Er 0.141 0.141 0.283
5 Er 0.859 0.859 0.717
6 La 0.600 0.600 0.200
7 La 0.400 0.400 0.800



Record 3
DFT (PBE-GGA) results for a geometry-optimized La3Nd3Er structure.

The polymorph energy (0 for the lowest one) comes out at 0.1861 eV per atom.

a b c (Å): 8.994 8.994 8.994
angles (deg): 59.27 59.27 59.27
Fractional coordinates of all 14 atoms:
1 Nd 0.068 0.723 0.567
2 Nd 0.277 0.433 0.932
3 Nd 0.433 0.932 0.277
4 Nd 0.567 0.068 0.723
5 Nd 0.723 0.567 0.068
6 Nd 0.932 0.277 0.433
7 La 0.301 0.810 0.060
8 La 0.940 0.699 0.190
9 La 0.190 0.940 0.699
10 La 0.810 0.060 0.301
11 La 0.699 0.190 0.940
12 La 0.060 0.301 0.810
13 Er 0.652 0.652 0.652
14 Er 0.348 0.348 0.348



M_tot across the listed records, respectively: 0.000; 0.001; 0.000 μB per formula unit.